1.
DFT (PBE) results for an optimized crystal structure of Mg2TaCu.

Output
Its energy above the most stable polymorph in this dataset is 0.182 eV per atom. The value obtained for the mass density is 6.89 Mg/m³. The formation energy comes out at 6.33 kcal/mol of atoms. The value obtained for the calculated total energy is -4.51 eV per atom.

Cell lengths 10.765, 2.740, 5.319 Å; angles 90.00, 115.75, 90.00 degrees
Space group Cm (No. 8)
One atom of each set of equivalent atoms:
Mg1 0.000 0.000 0.000 x2
Mg2 0.229 0.000 0.864 x2
Ta1 0.456 0.000 0.458 x2
Cu1 0.225 0.500 0.407 x2

***

2.
DFT (PBE) results for an optimized crystal structure of BeCrRu2.

Output
The value obtained for the mass density is 8.89 Mg/m³. The formation energy comes out at 0.99 kcal/mol of atoms. The value obtained for the calculated total energy is -7.93 eV per atom.

Cell lengths 2.6783, 2.6783, 23.7381 Å; angles 90.00, 90.00, 120.00 degrees
Space group R-3m (No. 166, hexagonal axes)
One atom of each set of equivalent atoms:
Be1 0.0000 0.0000 0.0000 x3
Cr1 0.0000 0.0000 0.5000 x3
Ru1 0.0000 0.0000 0.2532 x6

***

3.
DFT (PBE) results for an optimized crystal structure of SmIn6Ag12.

Output
The value obtained for the mass density is 8.48 Mg/m³. The formation energy comes out at 0.63 kcal/mol of atoms. The value obtained for the calculated total energy is -2.89 eV per atom.

Cell lengths 12.4108, 12.4108, 9.4018 Å; angles 90.00, 90.00, 120.00 degrees
Space group R-3m (No. 166, hexagonal axes)
One atom of each set of equivalent atoms:
Sm1 0.0000 0.0000 0.0000 x3
In1 0.0618 0.5309 0.2368 x18
Ag1 0.0000 0.3890 0.5000 x18
Ag2 0.0800 0.1600 0.2748 x18

***

4.
DFT (PBE) results for an optimized crystal structure of SnTeRuN2.

Output
Its energy above the most stable polymorph in this dataset is 0.759 eV per atom. The formation energy from raw total energies comes out at 1.698 eV per atom. The value obtained for the mass density is 6.04 Mg/m³. The value obtained for the calculated total energy is -4.92 eV per atom.

Cell lengths 4.054, 4.054, 6.277 Å; angles 90.00, 90.00, 90.00 degrees
Space group P4/mmm (No. 123)
One atom of each set of equivalent atoms:
Sn1 0.000 0.000 0.000 x1
Te1 0.000 0.000 0.500 x1
Ru1 0.500 0.500 0.500 x1
N1 0.000 0.500 0.000 x2

***

5.
DFT (PBE) results for an optimized crystal structure of Cd7Ag2Au.

Output
The value obtained for the mass density is 9.54 Mg/m³. The formation energy comes out at -1.07 kcal/mol of atoms. The value obtained for the calculated total energy is -1.58 eV per atom.

Cell lengths 13.442, 8.063, 10.219 Å; angles 90.00, 131.06, 90.00 degrees
Space group C2/c (No. 15)
One atom of each set of equivalent atoms:
Cd1 0.000 0.106 0.250 x4
Cd2 0.092 0.436 0.205 x8
Cd3 0.122 0.103 0.082 x8
Cd4 0.240 0.419 0.068 x8
Ag1 0.148 0.259 0.591 x8
Au1 0.000 0.262 0.750 x4

***

6.
DFT (PBE) results for an optimized crystal structure of Re2Ru.

Output
Its energy above the most stable polymorph in this dataset is 0.628 eV per atom. The value obtained for the mass density is 16.81 Mg/m³. The formation energy comes out at 12.96 kcal/mol of atoms. The value obtained for the calculated total energy is -10.83 eV per atom.

Cell lengths 6.3669, 6.3669, 3.9969 Å; angles 90.00, 90.00, 120.00 degrees
Space group P-62m (No. 189)
One atom of each set of equivalent atoms:
Re1 0.0000 0.2513 0.0000 x3
Re2 0.0000 0.5924 0.5000 x3
Ru1 0.0000 0.0000 0.5000 x1
Ru2 0.3333 0.6667 0.0000 x2